The following is a PBE calculation of an optimized crystal structure of TbMg2Hg, from Alexandria via LeMat-Bulk.

a = 3.4775 Å, b = 3.4775 Å, c = 10.0224 Å
α = 80.01°, β = 80.01°, γ = 60.00°
Positions (direct):
Tb (0.5001, 0.5001, 0.4996)
Mg (0.0737, 0.0737, 0.7788)
Mg (0.2595, 0.2595, 0.2215)
Hg (0.6666, 0.6666, 0.0001)

Results
DOS at the Fermi energy: 2.24 states/eV/cell
Formation energy: -0.07 eV/atom
Total magnetic moment: 0.0 μB/f.u.
Energy relative to the lowest polymorph listed for this composition: 0.2043 eV per atom